Entry 1:
# Dy2ZrTe2N2

Crystalline Dy2ZrTe2N2 at its relaxed geometry (PBE-GGA, the Alexandria database).

abc: 4.244 4.244 16.624
angles: 90.00 90.00 90.00
Fractional positions:
Dy: 0.000 0.000 0.098
Dy: 0.000 0.000 0.902
Dy: 0.500 0.500 0.402
Dy: 0.500 0.500 0.598
Zr: 0.000 0.000 0.500
Zr: 0.500 0.500 0.000
Te: 0.000 0.000 0.321
Te: 0.000 0.000 0.679
Te: 0.500 0.500 0.179
Te: 0.500 0.500 0.821
N: 0.000 0.500 0.000
N: 0.000 0.500 0.500
N: 0.500 0.000 0.000
N: 0.500 0.000 0.500

N(E_F): 0.17 states/eV per cell
E_tot: -7.182 eV per atom
SG: I4/mmm (139)
E_form (uncorrected): -9.59 eV/f.u.

***

Entry 2:
# Bi2P2Pb

Crystalline Bi2P2Pb at its relaxed geometry (PBE-GGA, the Alexandria database).

abc: 4.511 4.511 13.489
angles: 90.00 90.00 90.00
Fractional positions:
Bi: 0.000 0.500 0.250
Bi: 0.000 0.500 0.750
Bi: 0.500 0.000 0.250
Bi: 0.500 0.000 0.750
P: 0.000 0.000 0.080
P: 0.000 0.000 0.920
P: 0.500 0.500 0.420
P: 0.500 0.500 0.580
Pb: 0.000 0.000 0.500
Pb: 0.500 0.500 0.000

Energy relative to the elements: 7.3 kcal/mol of atoms
N(E_F): 4.84 states/eV per cell
E_tot: -4.140 eV per atom
SG: I4/mmm (139)
Energy relative to the lowest polymorph listed for this composition: 0.080 eV per atom